Entry 1:
# AcTbSmSe3, optimized geometry, DFT PBE-GGA
# - E_form (uncorrected) (eV/f.u.) = -10.0
# - electronic total energy (eV/atom) = -5.65
# - Fermi-level density of states (states/eV/f.u.) = 3.0
data_AcTbSmSe3
_symmetry_space_group_name_H-M 'P 1 21/m 1'
_symmetry_Int_Tables_number 11
_symmetry_space_group_name_Hall '-P 2yb'
_cell_length_a 8.240
_cell_length_b 4.219
_cell_length_c 10.488
_cell_angle_alpha 90.00
_cell_angle_beta 104.27
_cell_angle_gamma 90.00
loop_
_atom_site_label
_atom_site_type_symbol
_atom_site_fract_x
_atom_site_fract_y
_atom_site_fract_z
_atom_site_occupancy
Ac1 Ac 0.189 0.250 0.213 1
Tb1 Tb 0.167 0.250 0.624 1
Sm1 Sm 0.338 0.750 0.907 1
Se1 Se 0.093 0.250 0.889 1
Se2 Se 0.200 0.750 0.446 1
Se3 Se 0.482 0.750 0.200 1


Entry 2:
# AcSmTeSe, optimized geometry, DFT PBE-GGA
# - E_form (uncorrected) (eV/f.u.) = -5.7
# - electronic total energy (eV/atom) = -5.29
# - ΔE to the lowest computed polymorph (meV/atom) = 0
# - Fermi-level density of states (states/eV/f.u.) = 3.1
data_AcSmTeSe
_symmetry_space_group_name_H-M 'F -4 3 m'
_symmetry_Int_Tables_number 216
_symmetry_space_group_name_Hall 'F -4 2 3'
_cell_length_a 7.715
_cell_length_b 7.715
_cell_length_c 7.715
_cell_angle_alpha 90.00
_cell_angle_beta 90.00
_cell_angle_gamma 90.00
loop_
_atom_site_label
_atom_site_type_symbol
_atom_site_fract_x
_atom_site_fract_y
_atom_site_fract_z
_atom_site_occupancy
Ac1 Ac 0.000 0.000 0.000 1
Sm1 Sm 0.000 0.000 0.500 1
Te1 Te 0.250 0.250 0.250 1
Se1 Se 0.250 0.250 0.750 1


Among the records above, which one has the highest electronic total energy? AcSmTeSe


Among the records above, which one has the lowest E_form (uncorrected)? AcTbSmSe3